First-principles (PBE-GGA) data for crystalline LiPu2Pd3 at its relaxed geometry, as listed in Alexandria via LeMat-Bulk.

## Properties
D(E_F)   17.1 states/eV/cell
Energy relative to the lowest polymorph listed for this composition   0 meV/atom
Energy of formation from the pure elements   -0.504 eV per atom
Total moment   11.30 μB/cell

Cell: 5.211 5.211 5.211 Å, 65.12 65.12 65.12°
Site moments in Bohr magnetons follow the coordinates.
Atoms (fractional coordinates):
Li1 0.000 0.000 0.000  0.02
Pu1 0.378 0.378 0.378  5.40
Pu2 0.622 0.622 0.622  5.40
Pd1 0.000 0.000 0.500  -0.04
Pd2 0.500 0.000 0.000  -0.04
Pd3 0.000 0.500 0.000  -0.04